This record from Alexandria via LeMat-Bulk describes La3Br after structural relaxation. The functional is GGA-PBE.

Lattice parameters (Å, degrees): 6.422 6.422 6.422 116.21 116.21 116.21
Fractional positions:
Br: 0.000 0.000 0.000
La: 0.000 0.500 0.500
La: 0.500 0.000 0.500
La: 0.500 0.500 0.000

Results
Fermi-level density of states in states/eV per atom: 1.61
ΔE to the lowest computed polymorph in eV/atom: 0.328
Symmetry: R-3m (166)

=====

This record from Alexandria via LeMat-Bulk describes LaBr after structural relaxation. The functional is GGA-PBE.

Lattice parameters (Å, degrees): 7.604 7.604 7.604 147.23 147.23 47.02
Fractional positions:
Br: 0.000 0.000 0.000
Br: 0.250 0.750 0.500
La: 0.500 0.500 0.000
La: 0.750 0.250 0.500

Results
Fermi-level density of states in states/eV per atom: 0.90
E in eV/atom: -4.321
Symmetry: I4_1/amd (141)

=====

This record from Alexandria via LeMat-Bulk describes LaBr3 after structural relaxation. The functional is GGA-PBE.

Lattice parameters (Å, degrees): 4.094 4.094 6.641 90.00 90.00 90.00
Fractional positions:
Br: 0.000 0.000 0.017
Br: 0.500 0.500 0.750
Br: 0.000 0.000 0.483
La: 0.500 0.500 0.250

Results
Fermi-level density of states in states/eV per atom: 0.48
E in eV/atom: -3.936
Symmetry: P4/mmm (123)

=====

Q: Fermi-level density of states of number 1 (La3Br)?
A: 1.61 states/eV per atom

=====

Q: Among the records above, which one has the lowest Fermi-level density of states?
A: LaBr3

=====

Q: Which formula does entry 3 have?
A: LaBr3